Ac3TmNi2O9: optimized geometry, PBE+U. Values from VASP.

Cell and atoms, written as Quantum ESPRESSO input:
```
&SYSTEM
  ibrav = 0, nat = 15, ntyp = 4
/
ATOMIC_SPECIES
Ac 227.00 Ac.upf
Tm 168.93 Tm.upf
Ni 58.69 Ni.upf
O 16.00 O.upf
CELL_PARAMETERS angstrom
-2.928 -2.757 -4.026
4.741 -2.300 2.149
-3.831 -3.228 4.998
ATOMIC_POSITIONS crystal
Ac 0.333 0.667 0.694
Ac 0.000 0.000 0.000
Ac 0.667 0.333 0.306
Tm 0.000 0.000 0.500
Ni 0.333 0.667 0.163
Ni 0.667 0.333 0.837
O 0.828 0.172 0.683
O 0.828 0.656 0.683
O 0.344 0.172 0.683
O 0.656 0.828 0.317
O 0.172 0.344 0.317
O 0.172 0.828 0.317
O 0.500 0.000 0.000
O 0.000 0.500 0.000
O 0.500 0.500 0.000
```

Properties
ρ: 9.3 g cm⁻³
Uncorrected energy: -6.956 eV per atom